(1)
First-principles (PBE) data for a relaxed structure of RbNbTeN2, as listed in Alexandria.

The structure in extended XYZ format:
```
5
Lattice="4.336 0.000 0.000 0.000 4.336 0.000 0.000 0.000 5.637" Properties=species:S:1:pos:R:3 pbc="T T T"
Nb 0.000 0.000 0.000
Te 0.000 0.000 2.819
Rb 2.168 2.168 2.819
N 0.000 2.168 0.000
N 2.168 0.000 0.000
```

Density of states at the Fermi level (states/eV per cell): 3.77
SG: No. 123
ΔE to the lowest computed polymorph (meV/atom): 0.0

***

(2)
First-principles (PBE) data for a relaxed structure of Rb3U3NbN8, as listed in Alexandria.

The structure in extended XYZ format:
```
15
Lattice="6.866 0.000 0.000 -3.433 5.947 -0.017 0.000 -3.949 6.783" Properties=species:S:1:pos:R:3 pbc="T T T"
Rb 0.000 0.000 0.000
Rb -1.716 2.973 -0.009
Rb 1.717 2.973 -0.009
U 3.433 -1.974 3.391
U 1.717 0.999 3.383
U -1.716 0.999 3.383
Nb 0.000 -1.974 3.391
N 0.000 1.986 2.344
N 3.433 0.012 4.421
N 3.433 2.018 2.385
N 0.000 -0.019 4.380
N 5.176 -1.002 2.394
N -1.743 3.000 4.372
N 1.690 -1.002 2.394
N 1.743 3.000 4.372
```

Density of states at the Fermi level (states/eV per cell): 5.65
SG: No. 166

***

| no. | final energy (eV per formula unit) |
| --- | --- |
| 1 | -29.17 |
| 2 | -127.23 |